Record 1
Here is an optimized crystal structure of HfZrO4 from Alexandria. Energies are from PBE.

Output
energy relative to the elements, uncorrected: -3.405 eV per atom
SG: I4_1/a (88)

```
data_HfZrO4
_chemical_formula_sum 'Hf2 Zr2 O8'
_cell_length_a 6.390
_cell_length_b 6.390
_cell_length_c 6.390
_cell_angle_alpha 132.79
_cell_angle_beta 132.79
_cell_angle_gamma 68.98
_space_group_name_H-M_alt 'P 1'
_space_group_IT_number 1
_space_group_name_Hall 'P 1'
loop_
_atom_site_label
_atom_site_type_symbol
_atom_site_fract_x
_atom_site_fract_y
_atom_site_fract_z
Hf1 Hf 0.000 0.000 0.000
Hf2 Hf 0.750 0.250 0.500
Zr1 Zr 0.500 0.500 0.000
Zr2 Zr 0.250 0.750 0.500
O1 O 0.654 0.146 0.994
O2 O 0.598 0.591 0.494
O3 O 0.854 0.848 0.508
O4 O 0.409 0.904 0.008
O5 O 0.341 0.346 0.492
O6 O 0.896 0.402 0.992
O7 O 0.096 0.104 0.506
O8 O 0.152 0.659 0.006
```



Record 2
Here is an optimized crystal structure of Hf2ZrO6 from Alexandria. Energies are from PBE.

Output
energy relative to the elements, uncorrected: -3.351 eV per atom
SG: C2/m (12)

```
data_Hf2ZrO6
_chemical_formula_sum 'Hf2 Zr1 O6'
_cell_length_a 3.819
_cell_length_b 5.627
_cell_length_c 6.516
_cell_angle_alpha 68.17
_cell_angle_beta 72.96
_cell_angle_gamma 70.16
_space_group_name_H-M_alt 'P 1'
_space_group_IT_number 1
_space_group_name_Hall 'P 1'
loop_
_atom_site_label
_atom_site_type_symbol
_atom_site_fract_x
_atom_site_fract_y
_atom_site_fract_z
Hf1 Hf 0.179 0.768 0.873
Hf2 Hf 0.821 0.232 0.127
Zr1 Zr 0.000 0.500 0.500
O1 O 0.737 0.641 0.885
O2 O 0.263 0.359 0.115
O3 O 0.981 0.832 0.205
O4 O 0.367 0.688 0.577
O5 O 0.019 0.168 0.795
O6 O 0.633 0.312 0.423
```



Record 3
Here is an optimized crystal structure of Hf6Zr3O from Alexandria. Energies are from PBE.

Output
energy relative to the elements, uncorrected: -0.556 eV per atom
SG: Cmc2_1 (36)

```
data_Hf6Zr3O
_chemical_formula_sum 'Hf12 Zr6 O2'
_cell_length_a 5.120
_cell_length_b 9.674
_cell_length_c 9.674
_cell_angle_alpha 119.75
_cell_angle_beta 90.00
_cell_angle_gamma 90.00
_space_group_name_H-M_alt 'P 1'
_space_group_IT_number 1
_space_group_name_Hall 'P 1'
loop_
_atom_site_label
_atom_site_type_symbol
_atom_site_fract_x
_atom_site_fract_y
_atom_site_fract_z
Hf1 Hf 0.172 0.721 0.610
Hf2 Hf 0.672 0.610 0.721
Hf3 Hf 0.178 0.389 0.945
Hf4 Hf 0.678 0.945 0.389
Hf5 Hf 0.175 0.056 0.944
Hf6 Hf 0.670 0.277 0.723
Hf7 Hf 0.170 0.723 0.277
Hf8 Hf 0.675 0.944 0.056
Hf9 Hf 0.178 0.055 0.611
Hf10 Hf 0.678 0.611 0.055
Hf11 Hf 0.172 0.390 0.279
Hf12 Hf 0.672 0.279 0.390
Zr1 Zr 0.669 0.943 0.723
Zr2 Zr 0.169 0.723 0.943
Zr3 Zr 0.172 0.390 0.610
Zr4 Zr 0.672 0.610 0.390
Zr5 Zr 0.169 0.057 0.277
Zr6 Zr 0.669 0.277 0.057
O1 O 0.931 0.168 0.832
O2 O 0.431 0.832 0.168
```



Record 4
Here is an optimized crystal structure of HfOs from Alexandria. Energies are from PBE.

Output
ΔE_f: -0.051 eV/atom
SG: Fddd (70)

```
data_HfOs
_chemical_formula_sum 'Hf16 Os16'
_cell_length_a 10.423
_cell_length_b 8.465
_cell_length_c 6.891
_cell_angle_alpha 90.00
_cell_angle_beta 90.00
_cell_angle_gamma 90.00
_space_group_name_H-M_alt 'P 1'
_space_group_IT_number 1
_space_group_name_Hall 'P 1'
loop_
_atom_site_label
_atom_site_type_symbol
_atom_site_fract_x
_atom_site_fract_y
_atom_site_fract_z
Hf1 Hf 0.000 0.191 0.000
Hf2 Hf 0.000 0.809 0.000
Hf3 Hf 0.250 0.559 0.250
Hf4 Hf 0.250 0.941 0.250
Hf5 Hf 0.000 0.691 0.500
Hf6 Hf 0.000 0.309 0.500
Hf7 Hf 0.250 0.059 0.750
Hf8 Hf 0.250 0.441 0.750
Hf9 Hf 0.500 0.191 0.500
Hf10 Hf 0.500 0.809 0.500
Hf11 Hf 0.750 0.559 0.750
Hf12 Hf 0.750 0.941 0.750
Hf13 Hf 0.500 0.691 0.000
Hf14 Hf 0.500 0.309 0.000
Hf15 Hf 0.750 0.059 0.250
Hf16 Hf 0.750 0.441 0.250
Os1 Os 0.000 0.000 0.316
Os2 Os 0.000 0.000 0.684
Os3 Os 0.250 0.750 0.934
Os4 Os 0.250 0.750 0.566
Os5 Os 0.000 0.500 0.816
Os6 Os 0.000 0.500 0.184
Os7 Os 0.250 0.250 0.434
Os8 Os 0.250 0.250 0.066
Os9 Os 0.500 0.000 0.816
Os10 Os 0.500 0.000 0.184
Os11 Os 0.750 0.750 0.434
Os12 Os 0.750 0.750 0.066
Os13 Os 0.500 0.500 0.316
Os14 Os 0.500 0.500 0.684
Os15 Os 0.750 0.250 0.934
Os16 Os 0.750 0.250 0.566
```



Record 5
Here is an optimized crystal structure of HfOs5 from Alexandria. Energies are from PBE.

Output
ΔE_f: -0.102 eV/atom
SG: Cmmm (65)

```
data_HfOs5
_chemical_formula_sum 'Hf1 Os5'
_cell_length_a 3.914
_cell_length_b 3.917
_cell_length_c 6.364
_cell_angle_alpha 107.92
_cell_angle_beta 90.00
_cell_angle_gamma 90.00
_space_group_name_H-M_alt 'P 1'
_space_group_IT_number 1
_space_group_name_Hall 'P 1'
loop_
_atom_site_label
_atom_site_type_symbol
_atom_site_fract_x
_atom_site_fract_y
_atom_site_fract_z
Hf1 Hf 0.000 0.000 0.000
Os1 Os 0.500 0.823 0.645
Os2 Os 0.000 0.679 0.357
Os3 Os 0.500 0.500 0.000
Os4 Os 0.000 0.321 0.643
Os5 Os 0.500 0.177 0.355
```



Record 6
Here is an optimized crystal structure of HfOs from Alexandria. Energies are from PBE.

Output
ΔE_f: -0.213 eV/atom
SG: P2_12_12_1 (19)

```
data_HfOs
_chemical_formula_sum 'Hf8 Os8'
_cell_length_a 5.238
_cell_length_b 5.538
_cell_length_c 9.994
_cell_angle_alpha 90.00
_cell_angle_beta 90.00
_cell_angle_gamma 90.00
_space_group_name_H-M_alt 'P 1'
_space_group_IT_number 1
_space_group_name_Hall 'P 1'
loop_
_atom_site_label
_atom_site_type_symbol
_atom_site_fract_x
_atom_site_fract_y
_atom_site_fract_z
Hf1 Hf 0.381 0.637 0.060
Hf2 Hf 0.881 0.863 0.940
Hf3 Hf 0.619 0.137 0.440
Hf4 Hf 0.119 0.363 0.560
Hf5 Hf 0.368 0.039 0.802
Hf6 Hf 0.868 0.461 0.198
Hf7 Hf 0.632 0.539 0.698
Hf8 Hf 0.132 0.961 0.302
Os1 Os 0.714 0.342 0.944
Os2 Os 0.214 0.158 0.056
Os3 Os 0.286 0.842 0.556
Os4 Os 0.786 0.658 0.444
Os5 Os 0.146 0.477 0.831
Os6 Os 0.646 0.023 0.169
Os7 Os 0.854 0.977 0.669
Os8 Os 0.354 0.523 0.331
```



Record 7
Here is an optimized crystal structure of HfOs3 from Alexandria. Energies are from PBE.

Output
ΔE_f: -0.103 eV/atom
SG: Pm-3m (221)

```
data_HfOs3
_chemical_formula_sum 'Hf1 Os3'
_cell_length_a 3.972
_cell_length_b 3.972
_cell_length_c 3.972
_cell_angle_alpha 90.00
_cell_angle_beta 90.00
_cell_angle_gamma 90.00
_space_group_name_H-M_alt 'P 1'
_space_group_IT_number 1
_space_group_name_Hall 'P 1'
loop_
_atom_site_label
_atom_site_type_symbol
_atom_site_fract_x
_atom_site_fract_y
_atom_site_fract_z
Hf1 Hf 0.000 0.000 0.000
Os1 Os 0.500 0.500 0.000
Os2 Os 0.500 0.000 0.500
Os3 Os 0.000 0.500 0.500
```



Record 8
Here is an optimized crystal structure of Hf3Os2 from Alexandria. Energies are from PBE.

Output
ΔE_f: -0.550 eV/atom
SG: P4/mmm (123)

```
data_Hf3Os2
_chemical_formula_sum 'Hf6 Os4'
_cell_length_a 3.246
_cell_length_b 3.246
_cell_length_c 17.249
_cell_angle_alpha 90.00
_cell_angle_beta 90.00
_cell_angle_gamma 90.00
_space_group_name_H-M_alt 'P 1'
_space_group_IT_number 1
_space_group_name_Hall 'P 1'
loop_
_atom_site_label
_atom_site_type_symbol
_atom_site_fract_x
_atom_site_fract_y
_atom_site_fract_z
Hf1 Hf 0.000 0.000 0.879
Hf2 Hf 0.000 0.000 0.121
Hf3 Hf 0.000 0.000 0.310
Hf4 Hf 0.000 0.000 0.500
Hf5 Hf 0.000 0.000 0.690
Hf6 Hf 0.500 0.500 0.000
Os1 Os 0.500 0.500 0.216
Os2 Os 0.500 0.500 0.405
Os3 Os 0.500 0.500 0.595
Os4 Os 0.500 0.500 0.784
```



Record 9
Here is an optimized crystal structure of Hf5Os from Alexandria. Energies are from PBE.

Output
ΔE_f: -0.083 eV/atom
SG: Cmmm (65)

```
data_Hf5Os
_chemical_formula_sum 'Hf5 Os1'
_cell_length_a 4.966
_cell_length_b 3.282
_cell_length_c 7.658
_cell_angle_alpha 102.38
_cell_angle_beta 90.00
_cell_angle_gamma 90.00
_space_group_name_H-M_alt 'P 1'
_space_group_IT_number 1
_space_group_name_Hall 'P 1'
loop_
_atom_site_label
_atom_site_type_symbol
_atom_site_fract_x
_atom_site_fract_y
_atom_site_fract_z
Hf1 Hf 0.500 0.832 0.664
Hf2 Hf 0.000 0.651 0.302
Hf3 Hf 0.500 0.500 0.000
Hf4 Hf 0.000 0.349 0.698
Hf5 Hf 0.500 0.168 0.336
Os1 Os 0.000 0.000 0.000
```



Record 10
Here is an optimized crystal structure of Hf5Os3 from Alexandria. Energies are from PBE.

Output
ΔE_f: -0.491 eV/atom
SG: P4/mmm (123)

```
data_Hf5Os3
_chemical_formula_sum 'Hf5 Os3'
_cell_length_a 3.262
_cell_length_b 3.262
_cell_length_c 13.748
_cell_angle_alpha 90.00
_cell_angle_beta 90.00
_cell_angle_gamma 90.00
_space_group_name_H-M_alt 'P 1'
_space_group_IT_number 1
_space_group_name_Hall 'P 1'
loop_
_atom_site_label
_atom_site_type_symbol
_atom_site_fract_x
_atom_site_fract_y
_atom_site_fract_z
Hf1 Hf 0.000 0.000 0.235
Hf2 Hf 0.500 0.500 0.617
Hf3 Hf 0.500 0.500 0.383
Hf4 Hf 0.000 0.000 0.765
Hf5 Hf 0.000 0.000 0.000
Os1 Os 0.500 0.500 0.118
Os2 Os 0.500 0.500 0.882
Os3 Os 0.000 0.000 0.500
```



Record 11
Here is an optimized crystal structure of Hf3Os from Alexandria. Energies are from PBE.

Output
ΔE_f: -0.333 eV/atom
SG: Immm (71)

```
data_Hf3Os
_chemical_formula_sum 'Hf3 Os1'
_cell_length_a 3.289
_cell_length_b 4.831
_cell_length_c 5.738
_cell_angle_alpha 114.89
_cell_angle_beta 106.66
_cell_angle_gamma 90.00
_space_group_name_H-M_alt 'P 1'
_space_group_IT_number 1
_space_group_name_Hall 'P 1'
loop_
_atom_site_label
_atom_site_type_symbol
_atom_site_fract_x
_atom_site_fract_y
_atom_site_fract_z
Hf1 Hf 0.277 0.694 0.554
Hf2 Hf 0.500 0.417 0.000
Hf3 Hf 0.723 0.139 0.446
Os1 Os 0.000 0.917 0.000
```



Record 12
Here is an optimized crystal structure of HfOs from Alexandria. Energies are from PBE.

Output
ΔE_f: 1.434 eV/atom
SG: I-43m (217)

```
data_HfOs
_chemical_formula_sum 'Hf8 Os8'
_cell_length_a 8.221
_cell_length_b 8.221
_cell_length_c 8.221
_cell_angle_alpha 90.00
_cell_angle_beta 90.00
_cell_angle_gamma 90.00
_space_group_name_H-M_alt 'P 1'
_space_group_IT_number 1
_space_group_name_Hall 'P 1'
loop_
_atom_site_label
_atom_site_type_symbol
_atom_site_fract_x
_atom_site_fract_y
_atom_site_fract_z
Hf1 Hf 0.138 0.138 0.138
Hf2 Hf 0.138 0.862 0.862
Hf3 Hf 0.862 0.138 0.862
Hf4 Hf 0.862 0.862 0.138
Hf5 Hf 0.638 0.638 0.638
Hf6 Hf 0.638 0.362 0.362
Hf7 Hf 0.362 0.638 0.362
Hf8 Hf 0.362 0.362 0.638
Os1 Os 0.330 0.330 0.330
Os2 Os 0.330 0.670 0.670
Os3 Os 0.670 0.330 0.670
Os4 Os 0.670 0.670 0.330
Os5 Os 0.830 0.830 0.830
Os6 Os 0.830 0.170 0.170
Os7 Os 0.170 0.830 0.170
Os8 Os 0.170 0.170 0.830
```



| no. | magnetization (μB per formula unit) |
| --- | --- |
| 1 | 0.0 |
| 2 | 0.0 |
| 3 | 0.0 |
| 4 | 0.0 |
| 5 | 0.0 |
| 6 | 0.0 |
| 7 | 0.0 |
| 8 | 0.0 |
| 9 | 0.0 |
| 10 | 0.0 |
| 11 | 0.0 |
| 12 | 0.4 |